Tc2SnAsI (PBE, relaxed); calculated volume = 28.21 Å³/atom; Fermi-level density of states = 4.34 states/eV/f.u.; calculated density = 6.081 g cm⁻³; total energy = -4.30 eV/atom
1.0
-1.375 -3.734 -2.861
5.578 -0.781 -1.662
0.676 -3.107 3.730
Tc As Sn I
2 1 1 1
direct
0.500 0.000 0.000 Tc
0.000 0.000 0.500 Tc
0.500 0.500 0.500 As
0.000 0.500 0.000 Sn
0.000 0.000 0.000 I